Record 1
## Rb2LiTcOs (PBE)

Data for an optimized crystal structure of Rb2LiTcOs.

a b c (Å): 6.4549 6.4549 4.9062
angles (deg): 90.00 90.00 90.00
Space group P4/mmm (No. 123)
Unique sites:
Rb  0.0000  0.5000  0.0000 x2
Li  0.0000  0.0000  0.5000 x1
Tc  0.5000  0.5000  0.5000 x1
Os  0.0000  0.0000  0.0000 x1

Values from the calculation:
Distance to the lowest polymorph of the same formula ... 0.725 eV per atom
Formation energy ... 2.094 eV/atom
V ... 204.4 Å³ per cell
Uncorrected energy ... -2.995 eV per atom

Record 2
## Rb2LiTcOs (PBE)

Data for an optimized crystal structure of Rb2LiTcOs.

a b c (Å): 6.6529 6.6529 4.5996
angles (deg): 90.00 90.00 90.00
Space group P4/mmm (No. 123)
Unique sites:
Rb  0.0000  0.5000  0.0000 x2
Li  0.0000  0.0000  0.5000 x1
Tc  0.5000  0.5000  0.0000 x1
Os  0.5000  0.5000  0.5000 x1

Values from the calculation:
Distance to the lowest polymorph of the same formula ... 0.000 eV per atom
Formation energy ... 1.369 eV/atom
V ... 203.6 Å³ per cell
Uncorrected energy ... -3.720 eV per atom

Record 3
## LiReOs2 (PBE)

Data for an optimized crystal structure of LiReOs2.

a b c (Å): 6.0434 6.0434 6.0434
angles (deg): 90.00 90.00 90.00
Space group F-43m (No. 216)
Unique sites:
Li  0.0000  0.0000  0.0000 x4
Re  0.2500  0.2500  0.7500 x4
Os  0.0000  0.0000  0.5000 x4
Os  0.2500  0.2500  0.2500 x4

Values from the calculation:
Distance to the lowest polymorph of the same formula ... 0.217 eV per atom
Formation energy ... 0.333 eV/atom
V ... 220.7 Å³ per cell
Uncorrected energy ... -8.872 eV per atom